Entry 1:
{"formula": "K8Au4O", "functional": "GGA-PBE", "state": "relaxed", "lattice_angstrom": [[-5.7390, 5.7390, 3.9626], [5.7390, -5.7390, 3.9626], [5.7390, 5.7390, -3.9626]], "species": ["K", "K", "K", "K", "K", "K", "K", "K", "Au", "Au", "Au", "Au", "O"], "fractional_positions": [[0.0000, 0.2150, 0.2150], [0.0000, 0.7850, 0.7850], [0.2150, 0.0000, 0.2150], [0.2310, 0.5000, 0.7310], [0.5000, 0.2310, 0.7310], [0.5000, 0.7690, 0.2690], [0.7690, 0.5000, 0.2690], [0.7850, 0.0000, 0.7850], [0.0000, 0.0000, 0.5000], [0.0000, 0.5000, 0.0000], [0.5000, 0.0000, 0.0000], [0.5000, 0.5000, 0.5000], [0.0000, 0.0000, 0.0000]], "dos_ef_per_ev_cell": 4.1, "total_energy_ev_per_atom": -2.433, "space_group": "I4/mmm (139)"}


Entry 2:
{"formula": "NiOs2", "functional": "GGA-PBE", "state": "relaxed", "lattice_angstrom": [[4.2026, 0.0000, 0.0000], [0.0000, 4.2026, 0.0000], [0.0000, 0.0000, 2.5770]], "species": ["Ni", "Os", "Os"], "fractional_positions": [[0.0000, 0.0000, 0.0000], [0.0000, 0.5000, 0.5000], [0.5000, 0.0000, 0.5000]], "dos_ef_per_ev_cell": 3.4, "relative_energy_ev_per_atom": 0.9682, "total_energy_ev_per_atom": -8.406, "space_group": "P4/mmm (123)", "formation_enthalpy_0k_ev_per_fu": 3.02}


Entry 3:
{"formula": "NaTiC3", "functional": "GGA-PBE", "state": "relaxed", "lattice_angstrom": [[4.0901, 0.0000, 0.0000], [0.0000, 4.0901, 0.0000], [0.0000, 0.0000, 4.0901]], "species": ["Na", "Ti", "C", "C", "C"], "fractional_positions": [[0.0000, 0.0000, 0.0000], [0.5000, 0.5000, 0.5000], [0.0000, 0.5000, 0.5000], [0.5000, 0.0000, 0.5000], [0.5000, 0.5000, 0.0000]], "dos_ef_per_ev_cell": 2.5, "total_energy_ev_per_atom": -5.805, "space_group": "Pm-3m (221)", "formation_enthalpy_0k_ev_per_fu": 7.86}